1.
DFT (PBE-GGA) results for a relaxed structure of TcRu2Se.

Cell lengths 2.8735, 3.7071, 5.6728 Å; angles 90.00, 90.00, 90.00 degrees
Closest atoms and distances in Å follow each position.
Positions (direct):
Ru1 0.0000 0.0000 0.9886  4 Tc 2.61, 1 Se 2.65, 6 Ru 2.83-2.87
Ru2 0.5000 0.5000 0.2688  4 Se 2.57, 1 Tc 2.73, 6 Ru 2.83-2.87
Se1 0.0000 0.0000 0.4557  5 Ru 2.57-2.65, 2 Se 2.87
Tc1 0.5000 0.5000 0.7868  5 Ru 2.61-2.73, 2 Tc 2.87

Summary:
- energy relative to the elements, uncorrected (eV per atom) = 0.36
- volume (A^3/atom) = 15.11
- N(E_F) (states/eV/f.u.) = 4.887
- M_tot (μB per atom) = 0.000
- SG = No. 25

2.
DFT (PBE-GGA) results for a relaxed structure of CaNbHg2.

Cell lengths 4.6743, 4.6743, 10.5546 Å; angles 77.21, 77.21, 90.00 degrees
Closest atoms and distances in Å follow each position.
Positions (direct):
Nb1 0.0000 0.0000 0.0000  4 Hg 2.94
Nb2 0.7500 0.2500 0.5000  4 Hg 2.94
Ca1 0.5000 0.5000 0.0000  4 Hg 3.08, 4 Nb 3.31
Ca2 0.2500 0.7500 0.5000  4 Hg 3.08, 4 Nb 3.31
Hg1 0.6642 0.1250 0.2500  2 Nb 2.94, 2 Hg 3.06, 2 Ca 3.08
Hg2 0.0858 0.6250 0.2500  2 Nb 2.94, 2 Hg 3.06, 2 Ca 3.08
Hg3 0.3750 0.3358 0.7500  2 Nb 2.94, 2 Hg 3.06, 2 Ca 3.08
Hg4 0.8750 0.9142 0.7500  2 Nb 2.94, 2 Hg 3.06, 2 Ca 3.08

Summary:
- volume (A^3/atom) = 27.38
- N(E_F) (states/eV/f.u.) = 3.140
- M_tot (μB per atom) = 0.626
- SG = No. 122
- formation enthalpy at 0 K (eV per formula unit) = 2.159